# 1
Entry from Alexandria via LeMat-Bulk: a relaxed structure of Ac3Ho5H12 (GGA-PBE).

Calculated volume: 15.94 Å³ per atom
Calculated total energy: -4.19 eV/atom

Cell lengths 13.664, 13.664, 13.664 Å; angles 90.00, 90.00, 90.00 degrees
Space group Ia-3d (No. 230)
Unique sites:
Ac1 0.000 0.250 0.125 (multiplicity 24)
Ho1 0.000 0.000 0.000 (multiplicity 16)
Ho2 0.000 0.250 0.375 (multiplicity 24)
H1 0.015 0.063 0.649 (multiplicity 96)

# 2
Entry from Alexandria via LeMat-Bulk: a relaxed structure of AcHo2H (GGA-PBE).

Calculated volume: 27.38 Å³ per atom
Calculated total energy: -4.17 eV/atom

Cell lengths 3.5967, 3.5967, 29.3280 Å; angles 90.00, 90.00, 120.00 degrees
Space group R-3m (No. 166, hexagonal axes)
Unique sites:
Ac1 0.0000 0.0000 0.0000 (multiplicity 3)
Ho1 0.0000 0.0000 0.1223 (multiplicity 6)
H1 0.0000 0.0000 0.5000 (multiplicity 3)

# 3
Entry from Alexandria via LeMat-Bulk: a relaxed structure of Ac3HoH (GGA-PBE).

Calculated volume: 33.01 Å³ per atom
Calculated total energy: -4.15 eV/atom

Cell lengths 5.485, 5.485, 5.485 Å; angles 90.00, 90.00, 90.00 degrees
Space group Pm-3m (No. 221)
Unique sites:
Ac1 0.000 0.000 0.500 (multiplicity 3)
Ho1 0.500 0.500 0.500 (multiplicity 1)
H1 0.000 0.000 0.000 (multiplicity 1)

# 4
Entry from Alexandria via LeMat-Bulk: a relaxed structure of AcHoH2 (GGA-PBE).

Calculated volume: 19.45 Å³ per atom
Calculated total energy: -4.30 eV/atom

Cell lengths 3.7521, 3.7521, 19.1475 Å; angles 90.00, 90.00, 120.00 degrees
Space group R-3m (No. 166, hexagonal axes)
Unique sites:
Ac1 0.0000 0.0000 0.0000 (multiplicity 3)
Ho1 0.0000 0.0000 0.5000 (multiplicity 3)
H1 0.0000 0.0000 0.1319 (multiplicity 6)

# 5
Entry from Alexandria via LeMat-Bulk: a relaxed structure of Ac5Ho3H12 (GGA-PBE).

Calculated volume: 17.31 Å³ per atom
Calculated total energy: -4.07 eV/atom

Cell lengths 14.042, 14.042, 14.042 Å; angles 90.00, 90.00, 90.00 degrees
Space group Ia-3d (No. 230)
Unique sites:
Ac1 0.000 0.000 0.000 (multiplicity 16)
Ac2 0.000 0.250 0.375 (multiplicity 24)
Ho1 0.000 0.250 0.125 (multiplicity 24)
H1 0.010 0.070 0.162 (multiplicity 96)

# 6
Entry from Alexandria via LeMat-Bulk: a relaxed structure of Ac2HoH2O6 (GGA-PBE).

Calculated volume: 12.69 Å³ per atom
Calculated total energy: -6.66 eV/atom

Cell lengths 5.3372, 5.3372, 16.9745 Å; angles 90.00, 90.00, 120.00 degrees
Space group R-3m (No. 166, hexagonal axes)
Unique sites:
Ac1 0.0000 0.0000 0.2194 (multiplicity 6)
Ho1 0.0000 0.0000 0.0000 (multiplicity 3)
H1 0.0000 0.0000 0.4257 (multiplicity 6)
O1 0.0183 0.5091 0.2440 (multiplicity 18)

# 7
Entry from Alexandria via LeMat-Bulk: a relaxed structure of Ac2HoH12Rh3 (GGA-PBE).

Calculated volume: 10.71 Å³ per atom
Calculated total energy: -4.56 eV/atom

Cell lengths 6.8337, 6.8337, 14.3027 Å; angles 90.00, 90.00, 120.00 degrees
Space group R-3m (No. 166, hexagonal axes)
Unique sites:
Ac1 0.0000 0.0000 0.1208 (multiplicity 6)
Ho1 0.0000 0.0000 0.5000 (multiplicity 3)
H1 0.0110 0.5055 0.8816 (multiplicity 18)
H2 0.0767 0.5384 0.3263 (multiplicity 18)
Rh1 0.0000 0.5000 0.0000 (multiplicity 9)

# 8
Entry from Alexandria via LeMat-Bulk: a relaxed structure of Ac2HI2 (GGA-PBE).

Calculated volume: 32.91 Å³ per atom
Calculated total energy: -3.75 eV/atom

Cell lengths 12.981, 6.658, 9.714 Å; angles 90.00, 128.37, 90.00 degrees
Space group C2/m (No. 12)
Unique sites:
Ac1 0.043 0.000 0.321 (multiplicity 4)
Ac2 0.177 0.500 0.081 (multiplicity 4)
H1 0.118 0.000 0.621 (multiplicity 4)
I1 0.098 0.500 0.363 (multiplicity 4)
I2 0.195 0.000 0.133 (multiplicity 4)

# 9
Entry from Alexandria via LeMat-Bulk: a relaxed structure of Ac2HI4 (GGA-PBE).

Calculated volume: 36.88 Å³ per atom
Calculated total energy: -3.46 eV/atom

Cell lengths 11.187, 11.187, 4.126 Å; angles 90.00, 90.00, 90.00 degrees
Space group P4_2/mnm (No. 136)
Unique sites:
Ac1 0.157 0.157 0.000 (multiplicity 4)
H1 0.000 0.000 0.500 (multiplicity 2)
I1 0.098 0.675 0.000 (multiplicity 8)

# 10
Entry from Alexandria via LeMat-Bulk: a relaxed structure of AcH2I3 (GGA-PBE).

Calculated volume: 43.10 Å³ per atom
Calculated total energy: -3.59 eV/atom

Cell lengths 8.466, 8.472, 8.638 Å; angles 72.58, 72.61, 63.06 degrees
Space group P-1 (No. 2)
Unique sites:
Ac1 0.000 0.000 0.000 (multiplicity 1)
Ac2 0.000 0.000 0.500 (multiplicity 1)
H1 0.346 0.351 0.155 (multiplicity 2)
H2 0.368 0.368 0.225 (multiplicity 2)
I1 0.151 0.665 0.804 (multiplicity 2)
I2 0.184 0.184 0.642 (multiplicity 2)
I3 0.335 0.849 0.197 (multiplicity 2)

# 11
Entry from Alexandria via LeMat-Bulk: a relaxed structure of Ac2HI3 (GGA-PBE).

Calculated volume: 39.01 Å³ per atom
Calculated total energy: -3.83 eV/atom

Cell lengths 19.487, 4.383, 12.683 Å; angles 90.00, 120.20, 90.00 degrees
Space group C2/m (No. 12)
Unique sites:
Ac1 0.080 0.000 0.462 (multiplicity 4)
Ac2 0.137 0.500 0.792 (multiplicity 4)
H1 0.076 0.000 0.663 (multiplicity 4)
I1 0.044 0.500 0.238 (multiplicity 4)
I2 0.160 0.000 0.011 (multiplicity 4)
I3 0.227 0.500 0.623 (multiplicity 4)

# 12
Entry from Alexandria via LeMat-Bulk: a relaxed structure of AcH2I4 (GGA-PBE).

Calculated volume: 37.01 Å³ per atom
Calculated total energy: -2.91 eV/atom

Cell lengths 5.122, 16.005, 6.319 Å; angles 90.00, 90.00, 90.00 degrees
Space group Cmmm (No. 65)
Unique sites:
Ac1 0.000 0.000 0.000 (multiplicity 2)
H1 0.000 0.219 0.500 (multiplicity 4)
I1 0.000 0.107 0.500 (multiplicity 4)
I2 0.000 0.368 0.000 (multiplicity 4)

# 13
Entry from Alexandria via LeMat-Bulk: a relaxed structure of Ac8HIr3I4 (GGA-PBE).

Calculated volume: 35.72 Å³ per atom
Calculated total energy: -5.26 eV/atom

Cell lengths 15.124, 8.735, 10.010 Å; angles 90.00, 120.20, 90.00 degrees
Space group C2/m (No. 12)
Unique sites:
Ac1 0.024 0.246 0.316 (multiplicity 8)
Ac2 0.228 0.000 0.684 (multiplicity 4)
Ac3 0.231 0.500 0.684 (multiplicity 4)
H1 0.000 0.500 0.500 (multiplicity 2)
Ir1 0.000 0.000 0.500 (multiplicity 2)
Ir2 0.250 0.250 0.500 (multiplicity 4)
I1 0.000 0.000 0.000 (multiplicity 2)
I2 0.000 0.500 0.000 (multiplicity 2)
I3 0.250 0.250 0.000 (multiplicity 4)

# 14
Entry from Alexandria via LeMat-Bulk: a relaxed structure of Ac8HIr3I3 (GGA-PBE).

Calculated volume: 37.59 Å³ per atom
Calculated total energy: -5.31 eV/atom

Cell lengths 8.7575, 8.7575, 25.4669 Å; angles 90.00, 90.00, 120.00 degrees
Space group R-3m (No. 166, hexagonal axes)
Unique sites:
Ac1 0.0000 0.0000 0.2290 (multiplicity 6)
Ac2 0.0071 0.5035 0.7711 (multiplicity 18)
H1 0.0000 0.0000 0.5000 (multiplicity 3)
Ir1 0.0000 0.5000 0.5000 (multiplicity 9)
I1 0.0000 0.5000 0.0000 (multiplicity 9)

# 15
Entry from Alexandria via LeMat-Bulk: a relaxed structure of Ac6HIr2I2 (GGA-PBE).

Calculated volume: 37.43 Å³ per atom
Calculated total energy: -5.17 eV/atom

Cell lengths 7.753, 12.791, 8.662 Å; angles 90.00, 106.53, 90.00 degrees
Space group C2/m (No. 12)
Unique sites:
Ac1 0.200 0.000 0.205 (multiplicity 4)
Ac2 0.227 0.338 0.184 (multiplicity 8)
H1 0.000 0.500 0.000 (multiplicity 2)
Ir1 0.000 0.170 0.000 (multiplicity 4)
I1 0.000 0.325 0.500 (multiplicity 4)

# 16
Entry from Alexandria via LeMat-Bulk: a relaxed structure of Ac4NiHI2 (GGA-PBE).

Calculated volume: 33.02 Å³ per atom
Calculated total energy: -4.22 eV/atom

Cell lengths 7.251, 4.266, 8.884 Å; angles 90.00, 106.00, 90.00 degrees
Space group P2/m (No. 10)
Unique sites:
Ac1 0.229 0.000 0.190 (multiplicity 2)
Ac2 0.264 0.500 0.816 (multiplicity 2)
Ni1 0.500 0.000 0.000 (multiplicity 1)
H1 0.000 0.500 0.000 (multiplicity 1)
I1 0.000 0.000 0.500 (multiplicity 1)
I2 0.500 0.500 0.500 (multiplicity 1)